1.
A plane-wave DFT calculation with PBE was carried out for Er3Ag3Hg2 after structural relaxation.

Volume = 23.66 Å³ per atom
Total magnetic moment = 0.00 μB per formula unit
Energy = -3.149 eV/atom

Unit cell a=7.4854 b=7.4854 c=3.9007 alpha=90.00 beta=90.00 gamma=120.00
With the nearest neighbours (Å) after each atom.
Space group P-62m (No. 189)
Asymmetric unit:
Er 0.0000 0.6219 0.0000  4 Hg 3.05, 4 Ag 3.14
Ag 0.0000 0.2254 0.5000  2 Ag 2.92, 2 Hg 2.98, 4 Er 3.14
Hg 0.3333 0.6667 0.5000  3 Ag 2.98, 6 Er 3.05


2.
A plane-wave DFT calculation with PBE was carried out for HoMo6S8 after structural relaxation.

Volume = 18.21 Å³ per atom
Formation energy (no corrections) = -0.9016 eV/atom
Total magnetic moment = 0.00 μB per formula unit
Energy = -7.741 eV/atom

Unit cell a=9.1294 b=9.1294 c=11.3538 alpha=90.00 beta=90.00 gamma=120.00
With the nearest neighbours (Å) after each atom.
Space group R-3 (No. 148, hexagonal axes)
Asymmetric unit:
Ho 0.0000 0.0000 0.0000  8 S 2.70-2.98
Mo 0.0196 0.1784 0.4010  5 S 2.41-2.59, 2 Mo 2.68
S 0.0000 0.0000 0.2377  3 Mo 2.41, 1 Ho 2.70
S 0.0035 0.6210 0.7496  4 Mo 2.45-2.59


3.
A plane-wave DFT calculation with PBE was carried out for ThTl2PO6 after structural relaxation.

Volume = 17.99 Å³ per atom
Formation energy (no corrections) = -1.7566 eV/atom
Total magnetic moment = 0.00 μB per formula unit
Energy = -6.488 eV/atom

Unit cell a=5.9999 b=5.9999 c=5.7714 alpha=90.00 beta=90.00 gamma=120.00
With the nearest neighbours (Å) after each atom.
Space group P-3m1 (No. 164)
Asymmetric unit:
Th 0.0000 0.0000 0.0000  6 O 2.33
Tl 0.3333 0.6667 0.4147  3 O 2.56
P 0.0000 0.0000 0.5000  6 O 1.75
O 0.1358 0.2715 0.6794  1 P 1.75


4.
A plane-wave DFT calculation with PBE was carried out for Cd3GaAg3 after structural relaxation.

Volume = 32.04 Å³ per atom
Offset from the most stable computed form = 366 kJ/mol of formula units
Total magnetic moment = 0.00 μB per formula unit
Energy = -1.513 eV/atom

Unit cell a=7.6548 b=7.6548 c=7.6548 alpha=90.00 beta=90.00 gamma=90.00
With the nearest neighbours (Å) after each atom.
Space group Pm-3n (No. 223)
Asymmetric unit:
Cd 0.0000 0.2500 0.5000  4 Ag 2.71
Ga 0.0000 0.0000 0.0000  12 Cd 4.28, 12 Ag 4.28
Ag 0.0000 0.5000 0.2500  4 Cd 2.71